Material: Y2W2O
Method: DFT, PBE+U
State: optimized geometry

E, eV/atom: -6.223
Energy above the lowest structure with this stoichiometry, meV per atom: 120

POSCAR file:
```
Y2W2O
1.0
3.631 0.000 0.000
0.000 3.631 0.000
1.816 1.816 8.230
Y O W
2 1 2
direct
0.404 0.404 0.191 Y
0.596 0.596 0.809 Y
0.000 0.000 0.000 O
0.750 0.250 0.500 W
0.250 0.750 0.500 W
```